VASP calculation (PBE-GGA) on crystalline LaPr5ErTm2 at its relaxed geometry.

Structure (POSCAR):
```
LaPr5ErTm2
1.0
5.7399 0.0000 0.0000
-2.8699 10.2263 0.0000
0.0000 0.0000 10.7113
Tm Pr Er La
4 10 2 2
Cartesian
0.0000 2.3596 3.3856
2.8699 7.8667 8.7412
0.0000 2.3265 7.8819
2.8699 7.8998 2.5262
0.0000 5.7200 3.3799
2.8699 2.3938 5.6028
2.8699 4.1729 2.2135
0.0000 0.3390 0.2291
2.8699 4.5063 8.7355
2.8699 0.4010 2.5866
2.8699 9.8874 5.5848
0.0000 6.0534 7.5691
0.0000 7.8325 0.2472
0.0000 9.8253 7.9423
0.0000 4.0383 0.1273
2.8699 6.1880 5.4830
0.0000 8.4761 4.8417
2.8699 1.7502 10.1974
```

Output
Calculated volume (Å³ per cell): 628.7
Space-group type: Cmc2_1
Magnetization (Bohr magnetons per cell): 0.0
Formation energy from the elements (eV/atom): 0.1502